(1)
# BaYSb2Te, relaxed, DFT PBE-GGA
# raw formation energy = 508 meV per atom
# excess energy over the best structure of this formula in the dataset = 1153 meV per atom
# raw total energy = -3.4464 eV/atom
# N(E_F) = 4.2 states/eV/f.u.
# density = 4.52 Mg/m³
data_BaYSb2Te
_chemical_formula_sum 'Ba1 Y1 Sb2 Te1'
_cell_length_a 5.953
_cell_length_b 5.953
_cell_length_c 6.196
_cell_angle_alpha 90.00
_cell_angle_beta 90.00
_cell_angle_gamma 90.00
_space_group_name_H-M_alt 'P 4/m m m'
_space_group_IT_number 123
_space_group_name_Hall '-P 4 2'
loop_
_atom_site_label
_atom_site_fract_x
_atom_site_fract_y
_atom_site_fract_z
_atom_site_occupancy
Ba1 0.000 0.000 0.000 1
Y1 0.500 0.500 0.500 1
Sb1 0.000 0.500 0.000 1
Te1 0.000 0.000 0.500 1

=====

(2)
# BaYSb2Te, relaxed, DFT PBE-GGA
# raw formation energy = -645 meV per atom
# excess energy over the best structure of this formula in the dataset = 0 meV per atom
# raw total energy = -4.5998 eV/atom
# N(E_F) = 3.9 states/eV/f.u.
# density = 4.99 Mg/m³
data_BaYSb2Te
_chemical_formula_sum 'Ba1 Y1 Sb2 Te1'
_cell_length_a 5.806
_cell_length_b 5.806
_cell_length_c 5.901
_cell_angle_alpha 90.00
_cell_angle_beta 90.00
_cell_angle_gamma 90.00
_space_group_name_H-M_alt 'P 4/m m m'
_space_group_IT_number 123
_space_group_name_Hall '-P 4 2'
loop_
_atom_site_label
_atom_site_fract_x
_atom_site_fract_y
_atom_site_fract_z
_atom_site_occupancy
Ba1 0.000 0.000 0.000 1
Y1 0.500 0.500 0.500 1
Sb1 0.000 0.500 0.500 1
Te1 0.500 0.500 0.000 1

=====

(3)
# Ba2ZnSbTe5, relaxed, DFT PBE-GGA
# raw formation energy = -880 meV per atom
# raw total energy = -3.6523 eV/atom
# N(E_F) = 1.1 states/eV/f.u.
# density = 5.55 Mg/m³
data_Ba2ZnSbTe5
_chemical_formula_sum 'Ba8 Zn4 Sb4 Te20'
_cell_length_a 4.612
_cell_length_b 22.513
_cell_length_c 12.673
_cell_angle_alpha 90.00
_cell_angle_beta 90.00
_cell_angle_gamma 90.00
_space_group_name_H-M_alt 'C m c 21'
_space_group_IT_number 36
loop_
_space_group_symop_operation_xyz
'x,y,z'
'-x,-y,z+1/2'
'-x,y,z'
'x,-y,z+1/2'
'x+1/2,y+1/2,z'
'-x+1/2,-y+1/2,z+1/2'
'-x+1/2,y+1/2,z'
'x+1/2,-y+1/2,z+1/2'
loop_
_atom_site_label
_atom_site_fract_x
_atom_site_fract_y
_atom_site_fract_z
_atom_site_occupancy
Ba1 0.000 0.113 0.000 1
Ba2 0.000 0.116 0.417 1
Zn1 0.000 0.451 0.140 1
Sb1 0.000 0.234 0.707 1
Te1 0.000 0.087 0.719 1
Te2 0.000 0.271 0.043 1
Te3 0.000 0.272 0.370 1
Te4 0.000 0.364 0.708 1
Te5 0.000 0.499 0.955 1